The following is a PBE-GGA calculation of a relaxed CsSnTeAuSe2 crystal, from OQMD via LeMat-Bulk.

Mass density in kg/m³: 5936
SG: No. 63
Total DFT energy (no corrections) in eV per atom: -3.48

abc: 9.254 9.254 11.342
angles: 90.00 90.00 154.98
Atoms (fractional coordinates):
Cs: 0.236 0.764 0.750
Cs: 0.764 0.236 0.250
Sn: 0.500 0.500 0.000
Sn: 0.500 0.500 0.500
Te: 0.447 0.553 0.250
Te: 0.553 0.447 0.750
Au: 0.101 0.899 0.250
Au: 0.899 0.101 0.750
Se: 0.110 0.890 0.034
Se: 0.110 0.890 0.466
Se: 0.890 0.110 0.534
Se: 0.890 0.110 0.966